No. 1
5
Lattice="4.079 -0.001 1.409 -0.487 4.049 1.413 0.198 0.219 6.034" Properties=species:S:1:pos:R:3 comment="PmBeAu3, optimized geometry, DFT PBE" dos_at_fermi_per_ev_atom=0.4636 polymorph_energy_mev_per_atom=2 formation_enthalpy_0k_mev_per_atom=-547.0 space_group="I4mm (107)" pbc="T T T"
Be -0.149 3.522 5.097
Pm 1.712 1.023 6.313
Au 3.040 2.523 2.470
Au 0.408 1.853 3.481
Au 2.205 3.877 4.893

---

No. 2
4
Lattice="-3.998 -3.082 -2.350 1.345 -4.536 -2.935 -1.157 -5.061 2.011" Properties=species:S:1:pos:R:3 comment="CaPrGdHg, optimized geometry, DFT PBE" dos_at_fermi_per_ev_atom=1.3920 formation_enthalpy_0k_mev_per_atom=-84.4 space_group="F-43m (216)" pbc="T T T"
Ca -0.953 -3.170 -0.819
Pr -1.905 -6.339 -1.637
Gd 0.000 0.000 0.000
Hg -2.858 -9.509 -2.456

---

No. 3
11
Lattice="7.411 0.000 3.939 3.708 7.272 1.965 0.240 0.024 8.488" Properties=species:S:1:pos:R:3 comment="In3SeI7, optimized geometry, DFT PBE" e_form_raw_ev_per_atom=-0.461 space_group="Cm (8)" pbc="T T T"
In 7.244 5.410 9.013
In 3.298 5.410 6.916
In 1.567 2.006 5.992
I 4.518 4.314 9.381
I 2.640 0.632 8.397
I 4.268 3.073 5.356
I 9.831 6.680 8.328
I 6.385 0.632 10.387
I 7.995 3.073 7.337
I 6.111 6.710 6.386
Se 8.278 4.271 11.249

---

No. 4
8
Lattice="3.986 0.000 0.000 -1.993 5.867 0.000 0.000 0.000 8.855" Properties=species:S:1:pos:R:3 comment="YTm2Os, optimized geometry, DFT PBE" dos_at_fermi_per_ev_atom=0.8519 polymorph_energy_mev_per_atom=16 formation_enthalpy_0k_mev_per_atom=-274.2 space_group="Cmcm (63)" pbc="T T T"
Tm 1.993 1.717 3.853
Tm 1.993 1.717 0.574
Tm 0.000 4.150 8.280
Tm 0.000 4.150 5.002
Y 1.993 5.023 2.214
Y 0.000 0.844 6.641
Os 1.993 2.856 6.641
Os 0.001 3.011 2.214

---

No. 5
5
Lattice="-3.279 3.164 -0.330 -2.204 -1.918 3.513 2.294 2.681 2.902" Properties=species:S:1:pos:R:3 comment="TiIr3Se, optimized geometry, DFT PBE" dos_at_fermi_per_ev_atom=2.6788 polymorph_energy_mev_per_atom=0 e_form_raw_ev_per_atom=1.027 space_group="Pm-3m (221)" pbc="T T T"
Ir 1.147 1.340 1.451
Ir -1.102 -0.959 1.756
Ir -1.640 1.582 -0.165
Ti -1.594 1.963 3.043
Se 0.000 0.000 0.000

---

No. 6
10
Lattice="-1.490 -4.017 5.624 -4.385 -3.898 -3.945 2.933 -2.372 -0.917" Properties=species:S:1:pos:R:3 comment="ScCo2Bi2, optimized geometry, DFT PBE" dos_at_fermi_per_ev_atom=1.2939 polymorph_energy_mev_per_atom=0 formation_enthalpy_0k_mev_per_atom=76.1 space_group="P4/mbm (127)" pbc="T T T"
Bi 0.207 -3.173 0.654
Bi -3.149 -7.113 0.108
Bi -1.770 -4.541 -2.133
Bi -1.172 -5.746 2.895
Sc -2.937 -3.957 0.840
Sc 0.000 0.000 0.000
Co -1.850 -1.963 -0.841
Co -1.439 -2.944 3.011
Co -4.436 -4.971 -1.331
Co -4.025 -5.952 2.521

---

No. 7
20
Lattice="0.358 -8.390 2.937 2.405 -2.205 -8.276 8.330 1.832 2.531" Properties=species:S:1:pos:R:3 comment="Pr12Ho7Er, optimized geometry, DFT PBE" dos_at_fermi_per_ev_atom=1.3927 polymorph_energy_mev_per_atom=48 formation_enthalpy_0k_mev_per_atom=267.3 space_group="R-3 (148)" pbc="T T T"
Pr 5.049 -1.260 -1.746
Pr 4.481 -2.564 -4.883
Pr 6.612 -6.199 2.075
Pr 6.044 -7.503 -1.062
Pr 3.946 -3.611 1.233
Pr 4.315 -7.109 -4.158
Pr 2.501 -6.651 0.049
Pr 2.533 -4.235 -2.405
Pr 8.561 -4.528 -0.403
Pr 7.147 -5.152 -4.041
Pr 6.778 -1.654 1.350
Pr 8.592 -2.112 -2.858
Ho 0.890 -2.802 1.032
Ho 7.997 -9.006 -3.052
Ho 1.065 -1.432 -2.554
Ho 3.097 0.243 0.244
Ho 10.028 -7.331 -0.254
Ho 10.203 -5.961 -3.840
Ho 5.547 -4.381 -1.404
Er 0.000 0.000 0.000

---

No. 8
3
Lattice="-2.697 -1.385 -3.957 -1.109 -4.809 -0.701 -4.684 -1.593 0.611" Properties=species:S:1:pos:R:3 comment="PmMgHg, optimized geometry, DFT PBE" dos_at_fermi_per_ev_atom=1.7599 polymorph_energy_mev_per_atom=182 formation_enthalpy_0k_mev_per_atom=-228.6 space_group="F-43m (216)" pbc="T T T"
Pm 0.000 0.000 0.000
Mg -4.245 -3.893 -2.023
Hg -2.123 -1.947 -1.012

---

No. 9
4
Lattice="8.173 -0.005 -0.003 7.697 2.749 -0.003 7.697 1.331 2.405" Properties=species:S:1:pos:R:3 comment="Cr2IrSe, optimized geometry, DFT PBE" dos_at_fermi_per_ev_atom=0.7995 e_form_raw_ev_per_atom=0.200 space_group="R-3m (166)" pbc="T T T"
Ir 5.892 1.019 0.600
Se 17.675 3.057 1.800
Cr 0.070 0.012 0.007
Cr 11.714 2.026 1.193

---

No. 10
5
Lattice="-0.863 -1.862 2.854 2.679 -2.190 -0.619 2.106 2.023 1.957" Properties=species:S:1:pos:R:3 comment="LiScO3, optimized geometry, DFT PBE" dos_at_fermi_per_ev_atom=0.3649 e_form_raw_ev_per_atom=-1.466 space_group="Pm-3m (221)" pbc="T T T"
Li 0.000 0.000 0.000
O 1.053 1.011 0.979
O -0.432 -0.931 1.427
O 1.340 -1.095 -0.310
Sc 1.961 -1.015 2.096

---

No. 11
5
Lattice="4.841 0.000 0.000 0.000 4.841 0.000 0.000 0.000 4.101" Properties=species:S:1:pos:R:3 comment="Na2HgGeH, optimized geometry, DFT PBE" dos_at_fermi_per_ev_atom=0.2013 final_energy_ev_per_cell=-10.8 space_group="P4/mmm (123)" pbc="T T T"
Na 0.000 2.421 0.000
Na 2.421 0.000 0.000
H 0.000 0.000 0.000
Hg 2.421 2.421 2.051
Ge 0.000 0.000 2.051

---

No. 12
14
Lattice="-1.758 3.887 1.410 -4.585 -2.014 6.998 4.707 1.935 7.695" Properties=species:S:1:pos:R:3 comment="Nd3In7Ir4, optimized geometry, DFT PBE" dos_at_fermi_per_ev_atom=0.5846 formation_enthalpy_0k_mev_per_atom=-436.5 space_group="C2/m (12)" pbc="T T T"
In 0.302 3.254 5.725
In 0.000 0.000 0.000
In -1.938 0.554 10.378
In -2.715 -0.441 4.991
In 1.784 2.980 8.329
In -3.420 0.828 7.774
In 1.080 4.249 11.112
Nd -1.244 2.587 12.797
Nd 0.061 -0.040 7.347
Nd -0.391 1.221 3.306
Ir -4.107 2.282 10.069
Ir 0.512 1.682 10.322
Ir 2.471 1.526 6.035
Ir -2.148 2.126 5.781